Entry 1:
TeAs2Ru: PBEsol geometry, SCAN.

Values from the calculation:
DOS(E_F) (states/eV/cell): 4.0
SG: I-4m2
Formation energy without anion corrections (eV per atom): 0.504
Crystal system: tetragonal
Uncorrected energy (hartree per atom): -1.015

Cell lengths 4.6408, 4.6605, 4.6408 Å; angles 60.14, 90.00, 119.86 degrees
Element x y z (fractional)
Ru 0.5000 0.0000 0.5000
Te 0.7500 0.5000 0.7500
As 0.0000 0.0000 0.0000
As 0.2500 0.5000 0.2500

---

Entry 2:
TiAsRu: PBEsol geometry, SCAN.

Values from the calculation:
DOS(E_F) (states/eV/cell): 11.8
Formation enthalpy at 0 K (meV/atom): -845.6
SG: Ima2
Crystal system: orthorhombic
Uncorrected energy (hartree per atom): -0.901

Cell lengths 6.4668, 7.3877, 7.2772 Å; angles 60.49, 90.00, 115.96 degrees
Element x y z (fractional)
Ti 0.8485 0.6124 0.9438
Ti 0.2361 0.3876 0.0562
Ti 0.8059 0.5609 0.4695
Ti 0.6644 0.9970 0.2515
Ti 0.2449 0.4391 0.5305
Ti 0.6674 0.0030 0.7485
As 0.2164 0.9282 0.2859
As 0.9126 0.3332 0.3295
As 0.2882 0.0718 0.7141
As 0.9126 0.3332 0.8373
As 0.5794 0.6668 0.1627
As 0.5794 0.6668 0.6705
Ru 0.2476 0.7520 0.6643
Ru 0.9991 0.0000 0.5000
Ru 0.2476 0.7520 0.0837
Ru 0.4956 0.2480 0.3357
Ru 0.9991 0.0000 0.0000
Ru 0.4956 0.2480 0.9163

---

Entry 3:
Tl2AsRu: PBEsol geometry, SCAN.

Values from the calculation:
DOS(E_F) (states/eV/cell): 2.6
Formation enthalpy at 0 K (meV/atom): 151.0
SG: Cm
Energy above the lowest structure with this stoichiometry (meV/atom): 67.1
Crystal system: monoclinic
Uncorrected energy (hartree per atom): -1.829

Cell lengths 3.1510, 5.2858, 6.2073 Å; angles 115.46, 90.00, 107.34 degrees
Element x y z (fractional)
Tl 0.9359 0.8717 0.8871
Tl 0.7778 0.5557 0.2633
Ru 0.1883 0.3766 0.8356
As 0.5980 0.1960 0.5140

---

Entry 4:
TlAsRu2: PBEsol geometry, SCAN.

Values from the calculation:
DOS(E_F) (states/eV/cell): 1.6
Formation enthalpy at 0 K (meV/atom): 413.3
SG: P4/mmm
Energy above the lowest structure with this stoichiometry (meV/atom): 272.0
Crystal system: tetragonal
Uncorrected energy (hartree per atom): -1.475

Cell lengths 3.1635, 4.4434, 4.4434 Å; angles 90.00, 90.00, 90.00 degrees
Element x y z (fractional)
As 0.5000 0.0000 0.0000
Tl 0.5000 0.5000 0.5000
Ru 0.0000 0.5000 0.0000
Ru 0.0000 0.0000 0.5000

---

Entry 5:
TlAsRu2: PBEsol geometry, SCAN.

Values from the calculation:
DOS(E_F) (states/eV/cell): 1.8
Formation enthalpy at 0 K (meV/atom): 141.3
SG: C2/m
Energy above the lowest structure with this stoichiometry (meV/atom): 0.0
Crystal system: monoclinic
Uncorrected energy (hartree per atom): -1.485

Cell lengths 2.9652, 3.8777, 7.0455 Å; angles 77.09, 77.85, 67.52 degrees
Element x y z (fractional)
Ru 0.2741 0.6250 0.8269
Ru 0.7259 0.3750 0.1731
Tl 0.0000 0.5000 0.5000
As 0.5000 0.0000 0.0000

---

Entry 6:
TlAsRu2: PBEsol geometry, SCAN.

Values from the calculation:
DOS(E_F) (states/eV/cell): 3.2
Formation enthalpy at 0 K (meV/atom): 311.3
SG: Pmm2
Energy above the lowest structure with this stoichiometry (meV/atom): 170.0
Crystal system: orthorhombic
Uncorrected energy (hartree per atom): -1.479

Cell lengths 2.8976, 3.7785, 6.1121 Å; angles 90.00, 90.00, 90.00 degrees
Element x y z (fractional)
Ru 0.0000 0.0000 0.9766
Ru 0.5000 0.5000 0.2209
As 0.5000 0.5000 0.8306
Tl 0.0000 0.0000 0.4720

---

Entry 7:
Tl2AsRu: PBEsol geometry, SCAN.

Values from the calculation:
DOS(E_F) (states/eV/cell): 2.5
Formation enthalpy at 0 K (meV/atom): 83.9
SG: R3m
Energy above the lowest structure with this stoichiometry (meV/atom): 0.0
Crystal system: trigonal
Uncorrected energy (hartree per atom): -1.832

Cell lengths 3.2764, 3.2764, 9.4541 Å; angles 80.02, 80.02, 60.00 degrees
Element x y z (fractional)
Tl 0.7546 0.7546 0.7361
Tl 0.9850 0.9850 0.0450
As 0.5203 0.5203 0.4391
Ru 0.2401 0.2401 0.2798

---

Entry 8:
TlAs3Ru: PBEsol geometry, SCAN.

Values from the calculation:
DOS(E_F) (states/eV/cell): 3.4
Formation enthalpy at 0 K (meV/atom): 412.5
SG: Pm-3m
Crystal system: cubic
Uncorrected energy (hartree per atom): -1.218

Cell lengths 4.7985, 4.7985, 4.7985 Å; angles 90.00, 90.00, 90.00 degrees
Element x y z (fractional)
As 0.0000 0.0000 0.5000
As 0.5000 0.0000 0.0000
As 0.0000 0.5000 0.0000
Tl 0.5000 0.5000 0.5000
Ru 0.0000 0.0000 0.0000

---

Entry 9:
U4As6Ru7: PBEsol geometry, SCAN.

Values from the calculation:
DOS(E_F) (states/eV/cell): 15.2
Formation enthalpy at 0 K (meV/atom): -566.2
SG: Im-3m
Crystal system: cubic
Uncorrected energy (hartree per atom): -1.705

Cell lengths 7.1214, 7.1214, 7.1214 Å; angles 109.47, 109.47, 109.47 degrees
Site moments in Bohr magnetons follow the coordinates.
Element x y z (fractional)
Ru 0.2500 0.7500 0.5000  -0.09
Ru 0.7500 0.2500 0.5000  -0.09
Ru 0.2500 0.5000 0.7500  -0.09
Ru 0.0000 0.0000 0.0000  0.23
Ru 0.7500 0.5000 0.2500  -0.09
Ru 0.5000 0.7500 0.2500  -0.09
Ru 0.5000 0.2500 0.7500  -0.09
U 0.0000 0.0000 0.5000  1.81
U 0.5000 0.0000 0.0000  1.81
U 0.0000 0.5000 0.0000  1.81
U 0.5000 0.5000 0.5000  1.81
As 0.3080 0.3080 0.0000  -0.02
As 0.6920 0.0000 0.6920  -0.02
As 0.3080 0.0000 0.3080  -0.02
As 0.0000 0.3080 0.3080  -0.02
As 0.6920 0.6920 0.0000  -0.02
As 0.0000 0.6920 0.6920  -0.02

---

Entry 10:
As2RuW: PBEsol geometry, SCAN.

Values from the calculation:
DOS(E_F) (states/eV/cell): 3.0
Formation enthalpy at 0 K (meV/atom): 473.4
SG: C2/m
Crystal system: monoclinic
Uncorrected energy (hartree per atom): -1.314

Cell lengths 2.8956, 4.9994, 4.9994 Å; angles 107.54, 105.66, 105.66 degrees
Element x y z (fractional)
As 0.0000 0.5000 0.0000
As 0.0000 0.0000 0.5000
Ru 0.5000 0.0000 0.0000
W 0.5000 0.5000 0.5000

---

Entry 11:
YAsRu3: PBEsol geometry, SCAN.

Values from the calculation:
DOS(E_F) (states/eV/cell): 4.8
Formation enthalpy at 0 K (meV/atom): 2179.8
SG: Pm-3m
Crystal system: cubic
Uncorrected energy (hartree per atom): -1.041

Cell lengths 4.6942, 4.6942, 4.6942 Å; angles 90.00, 90.00, 90.00 degrees
Site moments in Bohr magnetons follow the coordinates.
Element x y z (fractional)
Ru 0.5000 0.0000 0.0000  1.61
Ru 0.0000 0.5000 0.0000  1.61
Ru 0.0000 0.0000 0.5000  1.61
As 0.5000 0.5000 0.5000  -0.01
Y 0.0000 0.0000 0.0000  -0.15

---

Entry 12:
Zn2AsRu: PBEsol geometry, SCAN.

Values from the calculation:
DOS(E_F) (states/eV/cell): 1.6
Formation enthalpy at 0 K (meV/atom): 95.2
SG: P2/m
Crystal system: monoclinic
Uncorrected energy (hartree per atom): -0.750

Cell lengths 2.8439, 4.3370, 4.7752 Å; angles 90.00, 90.00, 96.36 degrees
Site moments in Bohr magnetons follow the coordinates.
Element x y z (fractional)
Ru 0.5000 0.5000 0.5000  0.40
As 0.0000 0.0000 0.5000  0.00
Zn 0.7735 0.7392 0.0000  0.00
Zn 0.2265 0.2608 0.0000  0.00

---

Entry 13:
Zn2AsRu: PBEsol geometry, SCAN.

Values from the calculation:
DOS(E_F) (states/eV/cell): 3.2
Formation enthalpy at 0 K (meV/atom): 209.6
SG: F-43m
Crystal system: cubic
Uncorrected energy (hartree per atom): -0.746

Cell lengths 4.3213, 4.3213, 4.3213 Å; angles 60.00, 60.00, 60.00 degrees
Element x y z (fractional)
Zn 0.0000 0.0000 0.0000
Zn 0.7500 0.7500 0.7500
As 0.5000 0.5000 0.5000
Ru 0.2500 0.2500 0.2500

---

Entry 14:
Zn2AsRu: PBEsol geometry, SCAN.

Values from the calculation:
DOS(E_F) (states/eV/cell): 1.8
Formation enthalpy at 0 K (meV/atom): 97.9
SG: P4/mmm
Crystal system: tetragonal
Uncorrected energy (hartree per atom): -0.750

Cell lengths 3.7049, 3.7049, 4.0908 Å; angles 90.00, 90.00, 90.00 degrees
Element x y z (fractional)
As 0.5000 0.5000 0.5000
Zn 0.5000 0.0000 0.0000
Zn 0.0000 0.5000 0.0000
Ru 0.0000 0.0000 0.5000